The following is a DFT calculation (GGA-PBE) of a geometry-optimized VNi2TeC structure.

As for the formation energy without anion corrections: 1.923 eV/atom. The calculation puts the energy above the lowest structure with this stoichiometry at 9.189 eV/f.u.

It has space group P4/mmm (No. 123), with a = 4.5685 Å, b = 4.5685 Å, c = 4.2504 Å, α = 90.00°, β = 90.00° and γ = 90.00°. The inequivalent atoms are V at (0.0000, 0.0000, 0.0000), Ni at (0.0000, 0.5000, 0.5000), Te at (0.5000, 0.5000, 0.5000) and C at (0.5000, 0.5000, 0.0000).

=====

The following is a DFT calculation (GGA-PBE) of a geometry-optimized LaBeS3 structure.

As for the formation energy without anion corrections: 0.323 eV/atom. The calculation puts the energy above the lowest structure with this stoichiometry at 7.015 eV/f.u.

It has space group Pm-3m (No. 221), with a = 5.5425 Å, b = 5.5425 Å, c = 5.5425 Å, α = 90.00°, β = 90.00° and γ = 90.00°. The inequivalent atoms are La at (0.0000, 0.0000, 0.0000), Be at (0.5000, 0.5000, 0.5000) and S at (0.0000, 0.0000, 0.5000).

=====

The following is a DFT calculation (GGA-PBE) of a geometry-optimized Hg2BBr2 structure.

As for the formation energy without anion corrections: 0.816 eV/atom. The calculation puts the energy above the lowest structure with this stoichiometry at 1.610 eV/f.u.

It has space group I4/mmm (No. 139), with a = 3.9820 Å, b = 3.9820 Å, c = 17.7358 Å, α = 90.00°, β = 90.00° and γ = 90.00°. The inequivalent atoms are Hg at (0.0000, 0.5000, 0.2500), B at (0.0000, 0.0000, 0.0000) and Br at (0.0000, 0.0000, 0.4085).

=====

The following is a DFT calculation (GGA-PBE) of a geometry-optimized Y6SbTe5 structure.

As for the formation energy without anion corrections: -1.309 eV/atom.

It has space group C2/m (No. 12), with a = 7.5596 Å, b = 13.0998 Å, c = 7.5889 Å, α = 90.00°, β = 109.37° and γ = 90.00°. The inequivalent atoms are Y at (0.2426, 0.0000, 0.2528), Y at (0.2439, 0.1628, 0.7440), Sb at (0.0000, 0.0000, 0.5000), Te at (0.0000, 0.1699, 0.0000), Te at (0.0000, 0.3340, 0.5000) and Te at (0.0000, 0.5000, 0.0000).

=====

The following is a DFT calculation (GGA-PBE) of a geometry-optimized TmMg9Hg2 structure.

The energy of formation comes out at -0.0820 eV per atom.

It has space group I4_1/amd (No. 141, origin choice 2), with a = 12.0574 Å, b = 12.0574 Å, c = 7.6124 Å, α = 90.00°, β = 90.00° and γ = 90.00°. The inequivalent atoms are Tm at (0.0000, 0.2500, 0.3750), Mg at (0.0000, 0.2500, 0.8750), Mg at (0.1212, 0.0522, 0.6756) and Hg at (0.0000, 0.0000, 0.0000).

=====

The following is a DFT calculation (GGA-PBE) of a geometry-optimized GaGeSe2Br structure.

As for the formation energy without anion corrections: 0.158 eV/atom. The calculation puts the energy above the lowest structure with this stoichiometry at 0.672 eV/f.u.

It has space group P4/mmm (No. 123), with a = 5.0393 Å, b = 5.0393 Å, c = 5.0509 Å, α = 90.00°, β = 90.00° and γ = 90.00°. The inequivalent atoms are Ga at (0.0000, 0.0000, 0.0000), Ge at (0.5000, 0.5000, 0.5000), Se at (0.0000, 0.5000, 0.0000) and Br at (0.0000, 0.0000, 0.5000).

=====

no.,total DFT energy (no corrections) (eV/atom)
1,-4.686
2,-3.884
3,-1.309
4,-6.193
5,-1.701
6,-3.099